#P
Material: BaCaAs
Method: DFT, PBE
State: relaxed

The structure in CIF format:
```
data_BaCaAs
_space_group_name_H-M_alt 'P 4/n m m'
_space_group_IT_number 129
_cell_length_a 4.657
_cell_length_b 4.657
_cell_length_c 10.414
_cell_angle_alpha 90.00
_cell_angle_beta 90.00
_cell_angle_gamma 90.00
loop_
_space_group_symop_operation_xyz
'x,y,z'
'-x,-y,-z'
'-y+1/2,x,z'
'y+1/2,-x,-z'
'-x+1/2,-y+1/2,z'
'x+1/2,y+1/2,-z'
'y,-x+1/2,z'
'-y,x+1/2,-z'
'x+1/2,-y,-z'
'-x+1/2,y,z'
'-y,-x,-z'
'y,x,z'
'-x,y+1/2,-z'
'x,-y+1/2,z'
'y+1/2,x+1/2,-z'
'-y+1/2,-x+1/2,z'
loop_
_atom_site_label
_atom_site_type_symbol
_atom_site_fract_x
_atom_site_fract_y
_atom_site_fract_z
Ba1 Ba 0.250 0.250 0.187
Ca1 Ca 0.250 0.750 0.500
As1 As 0.250 0.250 0.685
```

Output
As for the crystal system: tetragonal. As for the volume: 37.64 A^3/atom. Its density of states at the Fermi level is 0.347 states/eV per atom.


#Q
Material: BaCaAs
Method: DFT, PBE
State: relaxed

The structure in CIF format:
```
data_BaCaAs
_space_group_name_H-M_alt 'F -4 3 m'
_space_group_IT_number 216
_space_group_name_Hall 'F -4 2 3'
_cell_length_a 7.528
_cell_length_b 7.528
_cell_length_c 7.528
_cell_angle_alpha 90.00
_cell_angle_beta 90.00
_cell_angle_gamma 90.00
loop_
_atom_site_label
_atom_site_type_symbol
_atom_site_fract_x
_atom_site_fract_y
_atom_site_fract_z
Ba1 Ba 0.000 0.000 0.000
Ca1 Ca 0.000 0.000 0.500
As1 As 0.250 0.250 0.750
```

Output
As for the crystal system: cubic. As for the volume: 35.55 A^3/atom. Its density of states at the Fermi level is 0.615 states/eV per atom.


Which of them is most stable, and which least? Most stable: #P; least stable: #Q.


#P
Material: Ba2CaAs2
Method: DFT, PBE
State: relaxed

The structure in CIF format:
```
data_Ba2CaAs2
_space_group_name_H-M_alt 'I 4/m m m'
_space_group_IT_number 139
_space_group_name_Hall '-I 4 2'
_cell_length_a 5.969
_cell_length_b 5.969
_cell_length_c 10.849
_cell_angle_alpha 90.00
_cell_angle_beta 90.00
_cell_angle_gamma 90.00
loop_
_atom_site_label
_atom_site_type_symbol
_atom_site_fract_x
_atom_site_fract_y
_atom_site_fract_z
Ba1 Ba 0.000 0.000 0.161
Ca1 Ca 0.000 0.000 0.500
As1 As 0.000 0.500 0.250
```

Output
As for the crystal system: tetragonal. As for the volume: 38.65 A^3/atom. Its density of states at the Fermi level is 0.169 states/eV per atom.


#Q
Material: Ba2CaAs2
Method: DFT, PBE
State: relaxed

The structure in CIF format:
```
data_Ba2CaAs2
_space_group_name_H-M_alt 'I 4/m m m'
_space_group_IT_number 139
_space_group_name_Hall '-I 4 2'
_cell_length_a 5.152
_cell_length_b 5.152
_cell_length_c 13.467
_cell_angle_alpha 90.00
_cell_angle_beta 90.00
_cell_angle_gamma 90.00
loop_
_atom_site_label
_atom_site_type_symbol
_atom_site_fract_x
_atom_site_fract_y
_atom_site_fract_z
Ba1 Ba 0.000 0.500 0.250
Ca1 Ca 0.000 0.000 0.000
As1 As 0.000 0.000 0.405
```

Output
As for the crystal system: tetragonal. As for the volume: 35.75 A^3/atom. Its density of states at the Fermi level is 0.625 states/eV per atom.


Which of them is most stable, and which least? Most stable: #Q; least stable: #P.


#P
Material: Ba2CaAs2
Method: DFT, PBE
State: relaxed

The structure in CIF format:
```
data_Ba2CaAs2
_space_group_name_H-M_alt 'P 4/m b m'
_space_group_IT_number 127
_space_group_name_Hall '-P 4 2ab'
_cell_length_a 9.096
_cell_length_b 9.096
_cell_length_c 4.016
_cell_angle_alpha 90.00
_cell_angle_beta 90.00
_cell_angle_gamma 90.00
loop_
_atom_site_label
_atom_site_type_symbol
_atom_site_fract_x
_atom_site_fract_y
_atom_site_fract_z
Ba1 Ba 0.128 0.372 0.000
Ca1 Ca 0.000 0.000 0.000
As1 As 0.175 0.675 0.500
```

Output
As for the crystal system: tetragonal. As for the volume: 33.23 A^3/atom. Its density of states at the Fermi level is 0.155 states/eV per atom.


#Q
Material: Ba2CaAs2
Method: DFT, PBE
State: relaxed

The structure in CIF format:
```
data_Ba2CaAs2
_space_group_name_H-M_alt 'P 1 21/c 1'
_space_group_IT_number 14
_cell_length_a 10.193
_cell_length_b 8.569
_cell_length_c 8.428
_cell_angle_alpha 90.00
_cell_angle_beta 97.71
_cell_angle_gamma 90.00
loop_
_space_group_symop_operation_xyz
'x,y,z'
'-x,-y,-z'
'-x,y+1/2,-z+1/2'
'x,-y+1/2,z+1/2'
loop_
_atom_site_label
_atom_site_type_symbol
_atom_site_fract_x
_atom_site_fract_y
_atom_site_fract_z
Ba1 Ba 0.073 0.228 0.035
Ba2 Ba 0.325 0.659 0.945
Ca1 Ca 0.376 0.092 0.851
As1 As 0.127 0.564 0.240
As2 As 0.406 0.112 0.201
```

Output
As for the crystal system: monoclinic. As for the volume: 36.47 A^3/atom.


Which of them is most stable, and which least? Most stable: #Q; least stable: #P.


#P
Material: BaCaAs3
Method: DFT, PBE
State: relaxed

The structure in CIF format:
```
data_BaCaAs3
_space_group_name_H-M_alt 'P m -3 m'
_space_group_IT_number 221
_space_group_name_Hall '-P 4 2 3'
_cell_length_a 5.411
_cell_length_b 5.411
_cell_length_c 5.411
_cell_angle_alpha 90.00
_cell_angle_beta 90.00
_cell_angle_gamma 90.00
loop_
_atom_site_label
_atom_site_type_symbol
_atom_site_fract_x
_atom_site_fract_y
_atom_site_fract_z
Ba1 Ba 0.000 0.000 0.000
Ca1 Ca 0.500 0.500 0.500
As1 As 0.000 0.500 0.500
```

Output
As for the crystal system: cubic. As for the volume: 31.69 A^3/atom. Its density of states at the Fermi level is 0.845 states/eV per atom.


#Q
Material: BaCaAs3
Method: DFT, PBE
State: relaxed

The structure in CIF format:
```
data_BaCaAs3
_space_group_name_H-M_alt 'P m -3 m'
_space_group_IT_number 221
_space_group_name_Hall '-P 4 2 3'
_cell_length_a 5.741
_cell_length_b 5.741
_cell_length_c 5.741
_cell_angle_alpha 90.00
_cell_angle_beta 90.00
_cell_angle_gamma 90.00
loop_
_atom_site_label
_atom_site_type_symbol
_atom_site_fract_x
_atom_site_fract_y
_atom_site_fract_z
Ba1 Ba 0.000 0.000 0.000
Ca1 Ca 0.500 0.500 0.500
As1 As 0.000 0.000 0.500
```

Output
As for the crystal system: cubic. As for the volume: 37.84 A^3/atom. Its density of states at the Fermi level is 0.863 states/eV per atom.


Which of them is most stable, and which least? Most stable: #P; least stable: #Q.


#P
Material: BaCaAs2
Method: DFT, PBE
State: relaxed

The structure in CIF format:
```
data_BaCaAs2
_space_group_name_H-M_alt 'P 4/m m m'
_space_group_IT_number 123
_space_group_name_Hall '-P 4 2'
_cell_length_a 4.023
_cell_length_b 4.023
_cell_length_c 6.835
_cell_angle_alpha 90.00
_cell_angle_beta 90.00
_cell_angle_gamma 90.00
loop_
_atom_site_label
_atom_site_type_symbol
_atom_site_fract_x
_atom_site_fract_y
_atom_site_fract_z
Ba1 Ba 0.000 0.000 0.000
Ca1 Ca 0.000 0.000 0.500
As1 As 0.500 0.500 0.305
```

Output
As for the crystal system: tetragonal. As for the volume: 27.66 A^3/atom. Its density of states at the Fermi level is 0.465 states/eV per atom.


#Q
Material: BaCaAs2
Method: DFT, PBE
State: relaxed

The structure in CIF format:
```
data_BaCaAs2
_space_group_name_H-M_alt 'C 1 m 1'
_space_group_IT_number 8
_cell_length_a 11.414
_cell_length_b 4.439
_cell_length_c 4.868
_cell_angle_alpha 90.00
_cell_angle_beta 98.50
_cell_angle_gamma 90.00
loop_
_space_group_symop_operation_xyz
'x,y,z'
'x,-y,z'
'x+1/2,y+1/2,z'
'x+1/2,-y+1/2,z'
loop_
_atom_site_label
_atom_site_type_symbol
_atom_site_fract_x
_atom_site_fract_y
_atom_site_fract_z
Ba1 Ba 0.000 0.000 0.000
Ca1 Ca 0.255 0.000 0.500
As1 As 0.044 0.500 0.533
As2 As 0.223 0.500 0.907
```

Output
As for the crystal system: monoclinic. As for the volume: 30.50 A^3/atom. Its density of states at the Fermi level is 0.102 states/eV per atom.


Which of them is most stable, and which least? Most stable: #Q; least stable: #P.


#P
Material: BaCaAs2
Method: DFT, PBE
State: relaxed

The structure in CIF format:
```
data_BaCaAs2
_space_group_name_H-M_alt 'P m m m'
_space_group_IT_number 47
_cell_length_a 3.682
_cell_length_b 5.274
_cell_length_c 6.402
_cell_angle_alpha 90.00
_cell_angle_beta 90.00
_cell_angle_gamma 90.00
loop_
_space_group_symop_operation_xyz
'x,y,z'
'-x,-y,-z'
'-x,-y,z'
'x,y,-z'
'x,-y,-z'
'-x,y,z'
'-x,y,-z'
'x,-y,z'
loop_
_atom_site_label
_atom_site_type_symbol
_atom_site_fract_x
_atom_site_fract_y
_atom_site_fract_z
Ba1 Ba 0.000 0.000 0.000
Ca1 Ca 0.500 0.500 0.500
As1 As 0.000 0.000 0.500
As2 As 0.500 0.500 0.000
```

Output
As for the crystal system: orthorhombic. As for the volume: 31.08 A^3/atom. Its density of states at the Fermi level is 0.724 states/eV per atom.


#Q
Material: BaCaAs2
Method: DFT, PBE
State: relaxed

The structure in CIF format:
```
data_BaCaAs2
_space_group_name_H-M_alt 'F m -3 m'
_space_group_IT_number 225
_space_group_name_Hall '-F 4 2 3'
_cell_length_a 7.709
_cell_length_b 7.709
_cell_length_c 7.709
_cell_angle_alpha 90.00
_cell_angle_beta 90.00
_cell_angle_gamma 90.00
loop_
_atom_site_label
_atom_site_type_symbol
_atom_site_fract_x
_atom_site_fract_y
_atom_site_fract_z
Ba1 Ba 0.000 0.000 0.000
Ca1 Ca 0.000 0.000 0.500
As1 As 0.250 0.250 0.250
```

Output
As for the crystal system: cubic. As for the volume: 28.63 A^3/atom. Its density of states at the Fermi level is 1.146 states/eV per atom.


#R
Material: BaCaAs2
Method: DFT, PBE
State: relaxed

The structure in CIF format:
```
data_BaCaAs2
_space_group_name_H-M_alt 'I m m m'
_space_group_IT_number 71
_space_group_name_Hall '-I 2 2'
_cell_length_a 5.338
_cell_length_b 6.377
_cell_length_c 7.055
_cell_angle_alpha 90.00
_cell_angle_beta 90.00
_cell_angle_gamma 90.00
loop_
_atom_site_label
_atom_site_type_symbol
_atom_site_fract_x
_atom_site_fract_y
_atom_site_fract_z
Ba1 Ba 0.000 0.000 0.000
Ca1 Ca 0.000 0.000 0.500
As1 As 0.000 0.500 0.187
```

Output
As for the crystal system: orthorhombic. As for the volume: 30.02 A^3/atom. Its density of states at the Fermi level is 0.360 states/eV per atom.


Which of them is most stable, and which least? Most stable: #R; least stable: #P.